A relaxed structure of NbAs2Pd2. Source: the Alexandria database, functional PBE-GGA.

Calculated values
**Density of states at the Fermi level**: 3.71 states/eV/cell
**DFT formation energy**: -0.2623 eV per atom

Cell: 7.275 7.275 3.136 Å, 90.00 90.00 90.00°
Space group P4/mbm (No. 127)
Asymmetric unit:
Nb (0.000, 0.000, 0.000) (multiplicity 2)
As (0.160, 0.340, 0.000) (multiplicity 4)
Pd (0.142, 0.642, 0.500) (multiplicity 4)



A relaxed structure of CeAg2Cl7. Source: the Alexandria database, functional PBE-GGA.

Calculated values
**Density of states at the Fermi level**: 15.53 states/eV/cell

Cell: 14.624 7.673 9.600 Å, 90.00 106.36 90.00°
Space group C2/c (No. 15)
Asymmetric unit:
Ce (0.000, 0.008, 0.250) (multiplicity 4)
Ag (0.170, 0.496, 0.274) (multiplicity 8)
Cl (0.000, 0.387, 0.250) (multiplicity 4)
Cl (0.078, 0.143, 0.537) (multiplicity 8)
Cl (0.127, 0.231, 0.887) (multiplicity 8)
Cl (0.190, 0.167, 0.269) (multiplicity 8)



A relaxed structure of TcBiS. Source: the Alexandria database, functional PBE-GGA.

Calculated values
**Density of states at the Fermi level**: 4.89 states/eV/cell

Cell: 6.534 6.342 6.539 Å, 90.00 113.32 90.00°
Space group P2_1/c (No. 14)
Asymmetric unit:
Tc (0.180, 0.020, 0.183) (multiplicity 4)
Bi (0.356, 0.630, 0.134) (multiplicity 4)
S (0.150, 0.137, 0.831) (multiplicity 4)



Number 1: theoretical density 9.1 g/cm3, E_tot -6.213 eV per atom. Number 2: theoretical density 3.9 g/cm3, E_tot -3.548 eV per atom. Number 3: theoretical density 9.1 g/cm3, E_tot -6.298 eV per atom.